A plane-wave DFT calculation with SCAN was carried out for NaLiBPt2 at its PBEsol-relaxed geometry.

Structure (POSCAR):
```
NaLiBPt2
1.0
4.052 0.000 0.000
0.000 4.052 0.000
0.000 0.000 4.762
Na Li B Pt
1 1 1 2
direct
0.000 0.000 0.000
0.500 0.500 0.000
0.000 0.000 0.500
0.000 0.500 0.500
0.500 0.000 0.500
```

Calculated values
SG   P4/mmm

A plane-wave DFT calculation with SCAN was carried out for LiNb2B at its PBEsol-relaxed geometry.

Structure (POSCAR):
```
LiNb2B
1.0
-3.302 3.302 2.555
3.302 -3.302 2.555
3.302 3.302 -2.555
Li Nb B
2 4 2
direct
0.000 0.000 0.000
0.750 0.250 0.500
0.158 0.625 0.033
0.375 0.408 0.533
0.592 0.125 0.967
0.875 0.842 0.467
0.250 0.750 0.500
0.500 0.500 0.000
```

Calculated values
SG   I-42d

Number 1: formation energy -2.05 eV/f.u.. Number 2: formation energy 1.47 eV/f.u..